1.
Computed, not measured: an optimized crystal structure of KZnNi2 at the PBE level of DFT.

a b c (Å): 2.6948 3.9470 7.2700
angles (deg): 90.00 95.32 90.00
Last column: nearest neighbours and their distance in Å.
Space group Pm (No. 6)
Inequivalent atoms, fractional coordinates:
1 K 0.0000 0.0000 0.0000  2 K 2.69
2 Zn 0.4090 0.5000 0.6425  4 Ni 2.46-2.57, 2 Zn 2.69
3 Ni 0.3567 0.0000 0.4141  6 Ni 2.42-2.69, 2 Zn 2.57
4 Ni 0.8373 0.5000 0.3575  6 Ni 2.42-2.69, 2 Zn 2.46

DOS(E_F) = 0.9778 states/eV/atom
Crystal system = monoclinic

=====

2.
Computed, not measured: an optimized crystal structure of Mg3ScSi at the PBE level of DFT.

a b c (Å): 5.4806 5.4806 5.4806
angles (deg): 90.00 90.00 90.00
Last column: nearest neighbours and their distance in Å.
Space group Pm-3m (No. 221)
Inequivalent atoms, fractional coordinates:
1 Mg 0.0000 0.0000 0.5000  2 Sc 2.74
2 Sc 0.0000 0.0000 0.0000  6 Mg 2.74
3 Si 0.5000 0.5000 0.5000  12 Mg 3.88

DOS(E_F) = 1.2241 states/eV/atom
ΔE_f (raw) = 1288 meV/atom
Crystal system = cubic

=====

3.
Computed, not measured: an optimized crystal structure of LaDyTlGa at the PBE level of DFT.

a b c (Å): 7.5894 7.5894 7.5894
angles (deg): 90.00 90.00 90.00
Last column: nearest neighbours and their distance in Å.
Space group F-43m (No. 216)
Inequivalent atoms, fractional coordinates:
1 La 0.0000 0.0000 0.0000  4 Tl 3.29, 4 Ga 3.29
2 Dy 0.0000 0.0000 0.5000  4 Ga 3.29, 4 Tl 3.29
3 Tl 0.2500 0.2500 0.2500  4 La 3.29, 4 Dy 3.29
4 Ga 0.2500 0.2500 0.7500  4 La 3.29, 4 Dy 3.29

DOS(E_F) = 0.4801 states/eV/atom
Crystal system = cubic

=====

4.
Computed, not measured: an optimized crystal structure of ZnCu2Rh at the PBE level of DFT.

a b c (Å): 3.5504 3.5504 18.0664
angles (deg): 90.00 90.00 90.00
Last column: nearest neighbours and their distance in Å.
Space group I-42d (No. 122)
Inequivalent atoms, fractional coordinates:
1 Zn 0.0000 0.0000 0.0000  4 Rh 2.51, 4 Cu 2.58
2 Cu 0.2481 0.2500 0.1250  4 Cu 2.50-2.52, 2 Zn 2.58, 2 Rh 2.59
3 Rh 0.0000 0.0000 0.5000  4 Zn 2.51, 4 Cu 2.59

DOS(E_F) = 0.6215 states/eV/atom
Crystal system = tetragonal

=====

5.
Computed, not measured: an optimized crystal structure of HgTeRu at the PBE level of DFT.

a b c (Å): 3.5435 3.5592 6.5590
angles (deg): 88.79 89.51 60.29
Last column: nearest neighbours and their distance in Å.
Space group P1 (No. 1)
Inequivalent atoms, fractional coordinates:
1 Hg 0.0000 0.0000 0.0000  3 Ru 2.86
2 Te 0.6628 0.6930 0.4639  3 Ru 2.55-2.56
3 Ru 0.3311 0.3476 0.6958  3 Te 2.55-2.56, 1 Hg 2.86

ΔE_f (raw) = 109 meV/atom
Crystal system = triclinic

=====

6.
Computed, not measured: an optimized crystal structure of Cu3Mo4 at the PBE level of DFT.

a b c (Å): 3.2309 3.2309 19.4825
angles (deg): 90.00 90.00 90.00
Last column: nearest neighbours and their distance in Å.
Space group I4/mmm (No. 139)
Inequivalent atoms, fractional coordinates:
1 Cu 0.0000 0.0000 0.0000  10 Mo 2.70-2.77
2 Cu 0.0000 0.0000 0.2793  4 Cu 2.55, 5 Mo 2.67-2.75
3 Mo 0.0000 0.0000 0.1424  4 Mo 2.65, 6 Cu 2.67-2.77
4 Mo 0.0000 0.0000 0.4262  5 Mo 2.65-2.88, 5 Cu 2.70-2.86

DOS(E_F) = 0.6123 states/eV/atom
Crystal system = tetragonal

=====

Number 1: raw total energy -12.70 eV per cell, total moment 0.18 Bohr magnetons per cell. Number 2: raw total energy -10.10 eV per cell, total moment 0.00 Bohr magnetons per cell. Number 3: raw total energy -66.84 eV per cell, total moment 0.00 Bohr magnetons per cell. Number 4: raw total energy -64.96 eV per cell, total moment 0.00 Bohr magnetons per cell. Number 5: raw total energy -12.39 eV per cell, total moment 0.00 Bohr magnetons per cell. Number 6: raw total energy -107.87 eV per cell, total moment 0.00 Bohr magnetons per cell.